Below is a relaxed HfSe2NCl crystal, with properties calculated at the PBE-GGA level.

Summary:
Formation energy (no corrections)   0.107 eV per atom
Total DFT energy (no corrections)   -26.56 eV per cell
ρ   5645 kg/m3

abc: 5.2638 5.2638 4.0968
angles: 90.00 90.00 90.00
Last column: nearest neighbours and their distance in Å.
Fractional positions:
Hf: 0.0000 0.0000 0.0000  2 N 2.05
Se: 0.0000 0.5000 0.0000  2 Hf 2.63
Se: 0.5000 0.0000 0.0000  2 Hf 2.63
N: 0.0000 0.0000 0.5000  2 Hf 2.05
Cl: 0.5000 0.5000 0.5000  8 Se 3.34, 4 N 3.72

Below is a relaxed Nb2NiB crystal, with properties calculated at the PBE-GGA level.

Summary:
Formation energy   0.18 eV/atom
Total DFT energy (no corrections)   -127.44 eV per cell
ρ   7456 kg/m3

abc: 6.4812 6.4812 5.4149
angles: 90.00 90.00 90.00
Last column: nearest neighbours and their distance in Å.
Fractional positions:
Nb: 0.2233 0.2500 0.1250  2 B 2.28, 2 Ni 2.51
Nb: 0.2500 0.7233 0.3750  2 B 2.28, 2 Ni 2.51
Nb: 0.2500 0.7767 0.8750  2 B 2.28, 2 Ni 2.51
Nb: 0.2767 0.2500 0.6250  2 B 2.28, 2 Ni 2.51
Nb: 0.7233 0.7500 0.6250  2 B 2.28, 2 Ni 2.51
Nb: 0.7500 0.2233 0.8750  2 B 2.28, 2 Ni 2.51
Nb: 0.7500 0.2767 0.3750  2 B 2.28, 2 Ni 2.51
Nb: 0.7767 0.7500 0.1250  2 B 2.28, 2 Ni 2.51
Ni: 0.0000 0.0000 0.5000  4 Nb 2.51, 2 B 2.71
Ni: 0.0000 0.5000 0.7500  4 Nb 2.51, 2 B 2.71
Ni: 0.5000 0.0000 0.2500  4 Nb 2.51, 2 B 2.71
Ni: 0.5000 0.5000 0.0000  4 Nb 2.51, 2 B 2.71
B: 0.0000 0.0000 0.0000  4 Nb 2.28
B: 0.0000 0.5000 0.2500  4 Nb 2.28
B: 0.5000 0.0000 0.7500  4 Nb 2.28
B: 0.5000 0.5000 0.5000  4 Nb 2.28

Below is a relaxed Pm6SiAs2Br3 crystal, with properties calculated at the PBE-GGA level.

Summary:
Formation energy (no corrections)   -1.311 eV per atom
Total DFT energy (no corrections)   -63.98 eV per cell
ρ   6322 kg/m3

abc: 9.7087 9.7087 8.7411
angles: 105.07 105.07 25.21
Last column: nearest neighbours and their distance in Å.
Fractional positions:
Pm: 0.0077 0.0077 0.2237  2 Si 2.86, 1 As 2.91
Pm: 0.3245 0.3245 0.4418  3 As 2.87-2.88
Pm: 0.3450 0.3450 0.8985  1 Si 2.83, 2 As 2.89
Pm: 0.6550 0.6550 0.1015  1 Si 2.83, 2 As 2.89
Pm: 0.6755 0.6755 0.5582  3 As 2.87-2.88
Pm: 0.9923 0.9923 0.7763  2 Si 2.86, 1 As 2.91
Si: 0.5000 0.5000 0.0000  6 Pm 2.83-2.86
As: 0.1668 0.1668 0.3317  6 Pm 2.87-2.91
As: 0.8332 0.8332 0.6683  6 Pm 2.87-2.91
Br: 0.1666 0.1666 0.8318  6 Pm 3.21-3.27
Br: 0.5000 0.5000 0.5000  6 Pm 3.23-3.24
Br: 0.8334 0.8334 0.1682  6 Pm 3.21-3.27

Below is a relaxed Cs3TaCl6 crystal, with properties calculated at the PBE-GGA level.

Summary:
Formation energy (no corrections)   -1.593 eV per atom
Total DFT energy (no corrections)   -41.42 eV per cell
ρ   3469 kg/m3

abc: 8.1254 8.1254 8.1254
angles: 60.00 60.00 60.00
Last column: nearest neighbours and their distance in Å.
Fractional positions:
Cs: 0.0000 0.0000 0.0000  6 Cl 3.26
Cs: 0.2500 0.2500 0.2500  12 Cl 4.08
Cs: 0.7500 0.7500 0.7500  12 Cl 4.08
Ta: 0.5000 0.5000 0.5000  6 Cl 2.48
Cl: 0.2841 0.2841 0.7159  1 Ta 2.48
Cl: 0.2841 0.7159 0.2841  1 Ta 2.48
Cl: 0.2841 0.7159 0.7159  1 Ta 2.48
Cl: 0.7159 0.2841 0.2841  1 Ta 2.48
Cl: 0.7159 0.2841 0.7159  1 Ta 2.48
Cl: 0.7159 0.7159 0.2841  1 Ta 2.48

Q: Among the records above, which one has the lowest total DFT energy (no corrections)?
A: Nb2NiB